Material: Ac2ZrAs3Rh12
Method: DFT, PBE-GGA
State: optimized geometry

Values from the calculation:
formation energy from the elements = -219 meV per atom
energy = -6.8263 eV per atom

Cell and atoms, written as CIF:
```
data_Ac2ZrAs3Rh12
_space_group_name_H-M_alt 'R -3 m'
_space_group_IT_number 166
_space_group_name_Hall '-R 3 2"'
_cell_length_a 9.2105
_cell_length_b 9.2105
_cell_length_c 13.1408
_cell_angle_alpha 90.00
_cell_angle_beta 90.00
_cell_angle_gamma 120.00
loop_
_atom_site_label
_atom_site_fract_x
_atom_site_fract_y
_atom_site_fract_z
Ac1 0.0000 0.0000 0.1487
Zr1 0.0000 0.0000 0.5000
As1 0.0000 0.5000 0.0000
Rh1 0.0046 0.5023 0.1846
Rh2 0.0128 0.5064 0.3830
```